# 1
This record from the Alexandria database describes a relaxed CdSn2Bi crystal. The functional is GGA-PBEsol.

Calculated values
- total energy (eV per atom) = -3.41
- SG = Fm-3m

a b c (Å): 5.3216 5.3216 5.3216
angles (deg): 60.00 60.00 60.00
Sites, in units of the cell vectors:
Cd (0.0000, 0.0000, 0.0000)
Sn (0.2500, 0.2500, 0.2500)
Sn (0.7500, 0.7500, 0.7500)
Bi (0.5000, 0.5000, 0.5000)

# 2
This record from the Alexandria database describes a relaxed Ti2CdSnBi crystal. The functional is GGA-PBEsol.

Calculated values
- total energy (eV per atom) = -4.24
- SG = P4/mmm

a b c (Å): 5.0366 5.0366 5.3904
angles (deg): 90.00 90.00 90.00
Sites, in units of the cell vectors:
Ti (0.0000, 0.5000, 0.0000)
Ti (0.5000, 0.0000, 0.0000)
Cd (0.0000, 0.0000, 0.0000)
Sn (0.5000, 0.5000, 0.5000)
Bi (0.0000, 0.0000, 0.5000)

# 3
This record from the Alexandria database describes a relaxed SrCdBi2 crystal. The functional is GGA-PBEsol.

Calculated values
- total energy (eV per atom) = -3.40
- SG = I4/mmm

a b c (Å): 11.6448 11.6448 11.6448
angles (deg): 157.10 157.10 32.61
Sites, in units of the cell vectors:
Sr (0.1184, 0.1184, 0.0000)
Sr (0.8816, 0.8816, 0.0000)
Cd (0.2500, 0.7500, 0.5000)
Cd (0.7500, 0.2500, 0.5000)
Bi (0.0000, 0.5000, 0.5000)
Bi (0.3395, 0.3395, 0.0000)
Bi (0.5000, 0.0000, 0.5000)
Bi (0.6605, 0.6605, 0.0000)

# 4
This record from the Alexandria database describes a relaxed Sr9Cd4Bi9 crystal. The functional is GGA-PBEsol.

Calculated values
- total energy (eV per atom) = -3.47
- SG = Pbam

a b c (Å): 13.1247 23.1717 4.8911
angles (deg): 90.00 90.00 90.00
Sites, in units of the cell vectors:
Sr (0.0000, 0.0000, 0.0000)
Sr (0.0698, 0.4116, 0.5000)
Sr (0.1295, 0.2355, 0.5000)
Sr (0.1289, 0.8655, 0.5000)
Sr (0.2031, 0.6038, 0.0000)
Sr (0.2969, 0.1038, 0.0000)
Sr (0.3711, 0.3655, 0.5000)
Sr (0.3705, 0.7355, 0.5000)
Sr (0.4302, 0.9116, 0.5000)
Sr (0.5000, 0.5000, 0.0000)
Sr (0.5698, 0.0884, 0.5000)
Sr (0.6295, 0.2645, 0.5000)
Sr (0.6289, 0.6345, 0.5000)
Sr (0.7031, 0.8962, 0.0000)
Sr (0.7969, 0.3962, 0.0000)
Sr (0.8711, 0.1345, 0.5000)
Sr (0.8705, 0.7645, 0.5000)
Sr (0.9302, 0.5884, 0.5000)
Cd (0.1110, 0.7625, 0.0000)
Cd (0.2318, 0.4558, 0.0000)
Cd (0.2682, 0.9558, 0.0000)
Cd (0.3890, 0.2625, 0.0000)
Cd (0.6110, 0.7375, 0.0000)
Cd (0.7318, 0.0442, 0.0000)
Cd (0.7682, 0.5442, 0.0000)
Cd (0.8890, 0.2375, 0.0000)
Bi (0.0000, 0.5000, 0.0000)
Bi (0.0480, 0.1452, 0.0000)
Bi (0.1119, 0.6935, 0.5000)
Bi (0.1884, 0.0132, 0.5000)
Bi (0.1909, 0.3316, 0.0000)
Bi (0.3091, 0.8316, 0.0000)
Bi (0.3116, 0.5132, 0.5000)
Bi (0.3881, 0.1935, 0.5000)
Bi (0.4520, 0.6452, 0.0000)
Bi (0.5000, 0.0000, 0.0000)
Bi (0.5480, 0.3548, 0.0000)
Bi (0.6119, 0.8065, 0.5000)
Bi (0.6884, 0.4868, 0.5000)
Bi (0.6909, 0.1684, 0.0000)
Bi (0.8091, 0.6684, 0.0000)
Bi (0.8116, 0.9868, 0.5000)
Bi (0.8881, 0.3065, 0.5000)
Bi (0.9520, 0.8548, 0.0000)

# 5
This record from the Alexandria database describes a relaxed SrCdBi2 crystal. The functional is GGA-PBEsol.

Calculated values
- total energy (eV per atom) = -3.29
- SG = I-42d

a b c (Å): 6.9878 6.9878 6.9878
angles (deg): 103.24 103.24 122.82
Sites, in units of the cell vectors:
Sr (0.0000, 0.0000, 0.0000)
Sr (0.7500, 0.2500, 0.5000)
Cd (0.2500, 0.7500, 0.5000)
Cd (0.5000, 0.5000, 0.0000)
Bi (0.1685, 0.1250, 0.5435)
Bi (0.3750, 0.8315, 0.9565)
Bi (0.5815, 0.6250, 0.4565)
Bi (0.8750, 0.4185, 0.0435)

# 6
This record from the Alexandria database describes a relaxed SrCd2Bi2 crystal. The functional is GGA-PBEsol.

Calculated values
- total energy (eV per atom) = -2.89
- SG = I4/mmm

a b c (Å): 8.1296 8.1296 8.1296
angles (deg): 147.98 147.98 45.92
Sites, in units of the cell vectors:
Sr (0.0000, 0.0000, 0.0000)
Cd (0.2500, 0.7500, 0.5000)
Cd (0.7500, 0.2500, 0.5000)
Bi (0.3856, 0.3856, 0.0000)
Bi (0.6144, 0.6144, 0.0000)

# 7
This record from the Alexandria database describes a relaxed SrCdBiTe2 crystal. The functional is GGA-PBEsol.

Calculated values
- total energy (eV per atom) = -2.43
- energy relative to the elements, uncorrected (meV/atom) = 447.7
- SG = P4/mmm

a b c (Å): 5.9483 5.9483 6.1197
angles (deg): 90.00 90.00 90.00
Sites, in units of the cell vectors:
Sr (0.0000, 0.0000, 0.0000)
Cd (0.5000, 0.5000, 0.5000)
Bi (0.0000, 0.0000, 0.5000)
Te (0.0000, 0.5000, 0.0000)
Te (0.5000, 0.0000, 0.0000)

# 8
This record from the Alexandria database describes a relaxed TaCdBi2 crystal. The functional is GGA-PBEsol.

Calculated values
- total energy (eV per atom) = -4.75
- SG = I-42d

a b c (Å): 7.9009 7.9009 7.9009
angles (deg): 130.45 130.45 72.69
Sites, in units of the cell vectors:
Ta (0.0000, 0.0000, 0.0000)
Ta (0.7500, 0.2500, 0.5000)
Cd (0.2500, 0.7500, 0.5000)
Cd (0.5000, 0.5000, 0.0000)
Bi (0.1025, 0.6250, 0.9775)
Bi (0.3750, 0.3525, 0.4775)
Bi (0.6475, 0.1250, 0.0225)
Bi (0.8750, 0.8975, 0.5225)